Entry 1:
BHSe2Br after structural relaxation, computed with PBE.

It has space group P4/mmm (No. 123), with a = 4.407 Å, b = 4.407 Å, c = 4.999 Å, α = 90.00°, β = 90.00° and γ = 90.00°. Symmetry generates all atoms from B at (0.000, 0.000, 0.000), H at (0.500, 0.500, 0.500), Se at (0.000, 0.500, 0.000) and Br at (0.000, 0.000, 0.500).

For the total energy, the calculation gives -2.638 eV per atom. The calculation puts the energy relative to the lowest polymorph listed for this composition at 46 meV per atom.

Entry 2:
BHSe2Br after structural relaxation, computed with PBE.

It has space group P4/mmm (No. 123), with a = 3.862 Å, b = 3.862 Å, c = 7.739 Å, α = 90.00°, β = 90.00° and γ = 90.00°. Symmetry generates all atoms from B at (0.000, 0.000, 0.000), H at (0.500, 0.500, 0.500), Se at (0.000, 0.500, 0.500) and Br at (0.500, 0.500, 0.000).

For the total energy, the calculation gives -2.684 eV per atom. The calculation puts the energy relative to the lowest polymorph listed for this composition at 0 meV per atom.

Entry 3:
SrB2HBr after structural relaxation, computed with PBE.

It has space group P4/mmm (No. 123), with a = 4.131 Å, b = 4.131 Å, c = 4.974 Å, α = 90.00°, β = 90.00° and γ = 90.00°. Symmetry generates all atoms from Sr at (0.000, 0.000, 0.000), B at (0.000, 0.500, 0.500), H at (0.000, 0.000, 0.500) and Br at (0.500, 0.500, 0.000).

For the total energy, the calculation gives -2.918 eV per atom. The calculation puts the energy relative to the lowest polymorph listed for this composition at 0 meV per atom.